(1)
A relaxed structure of MgZnMo. Source: the Alexandria database, functional GGA-PBE.

The structure in POSCAR format:
```
MgZnMo
1.0
2.847 -0.191 -0.151
1.233 2.545 -0.395
-0.229 -0.769 13.981
Mo Zn Mg
2 2 2
Cartesian
1.824 0.038 3.925
0.906 1.153 1.767
1.654 1.964 5.912
2.078 1.000 13.366
2.098 0.580 8.402
0.409 -0.168 11.273
```

Results
Total moment ... 0.0 μB/f.u.
ΔE to the lowest computed polymorph ... 0 meV/atom
Formation energy from the elements ... 0.103 eV per atom

---

(2)
A relaxed structure of Tm2Ga2Pd. Source: the Alexandria database, functional GGA-PBE.

The structure in POSCAR format:
```
Tm2Ga2Pd
1.0
-4.039 0.541 1.383
-3.665 -3.428 -2.668
-0.849 -6.600 6.797
Tm Ga Pd
4 4 2
Cartesian
-2.312 -1.470 0.519
-3.768 -5.242 4.434
-6.241 -8.018 4.993
-4.784 -4.246 1.078
-5.290 -5.910 6.945
-1.953 -3.794 2.473
-3.262 -3.578 -1.433
-6.599 -5.694 3.039
-3.813 -2.198 3.112
-4.739 -7.289 2.400
```

Results
Total moment ... 0.0 μB/f.u.
Formation energy from the elements ... -0.771 eV per atom

---

(3)
A relaxed structure of Y5ThS6. Source: the Alexandria database, functional GGA-PBE.

The structure in POSCAR format:
```
Y5ThS6
1.0
-5.347 -2.864 -3.136
5.837 1.002 -3.398
1.892 -5.199 4.021
Y S Th
5 6 1
Cartesian
-2.545 -4.822 -1.169
-1.618 -1.575 -3.224
1.191 -3.530 -1.257
2.108 -0.287 -3.311
4.927 -2.239 -1.344
-1.294 -2.451 -0.596
-0.123 -5.923 -1.828
1.536 -4.353 1.335
0.846 -2.708 -3.848
2.505 -1.138 -0.685
3.676 -4.610 -1.917
0.000 0.000 0.000
```

Results
Total moment ... 0.0 μB/f.u.
Raw formation energy ... -1.958 eV per atom

---

(4)
A relaxed structure of RePtSe2. Source: the Alexandria database, functional GGA-PBE.

The structure in POSCAR format:
```
RePtSe2
1.0
5.226 0.019 0.000
2.362 4.662 0.000
-3.794 -2.340 2.728
Pt Re Se
1 1 2
Cartesian
3.794 2.340 0.000
2.613 0.009 1.364
0.000 0.000 0.000
1.181 2.331 1.364
```

Results
Total moment ... 0.0 μB/f.u.
ΔE to the lowest computed polymorph ... 652 meV/atom
Raw formation energy ... 0.740 eV per atom

---

(5)
A relaxed structure of RuSe2SN. Source: the Alexandria database, functional GGA-PBE.

The structure in POSCAR format:
```
RuSe2SN
1.0
-3.691 -1.432 3.090
-2.734 -1.470 -3.948
1.475 -3.330 0.219
Ru S Se N
1 1 2 1
Cartesian
0.000 0.000 0.000
-2.475 -3.116 -0.320
-1.367 -0.735 -1.974
-1.846 -0.716 1.545
0.737 -1.665 0.109
```

Results
Total moment ... 0.0 μB/f.u.
ΔE to the lowest computed polymorph ... 0 meV/atom
Raw formation energy ... 0.660 eV per atom

---

(6)
A relaxed structure of CsFeSbI2. Source: the Alexandria database, functional GGA-PBE.

The structure in POSCAR format:
```
CsFeSbI2
1.0
6.072 0.000 0.000
0.000 6.072 0.000
0.000 0.000 4.953
Cs I Fe Sb
1 2 1 1
Cartesian
3.036 3.036 2.477
0.000 3.036 0.000
3.036 0.000 0.000
0.000 0.000 0.000
0.000 0.000 2.477
```

Results
Total moment ... 2.2 μB/f.u.
Raw formation energy ... -0.235 eV per atom

---

(7)
A relaxed structure of ZnIrRhO6. Source: the Alexandria database, functional GGA-PBE.

The structure in POSCAR format:
```
ZnIrRhO6
1.0
5.138 0.000 0.000
-2.569 4.450 0.000
0.000 0.000 8.865
Zn Ir Rh O
2 2 2 12
Cartesian
0.000 0.000 0.000
0.000 0.000 4.433
2.569 1.483 2.216
0.000 2.967 6.649
0.000 2.967 2.216
2.569 1.483 6.649
1.682 2.859 1.144
4.204 1.563 1.144
-0.748 4.422 5.576
-1.635 2.887 7.722
0.934 1.563 3.289
3.456 2.859 3.289
0.748 4.422 7.722
3.317 0.027 3.289
-0.887 1.590 5.576
1.821 0.027 1.144
1.635 2.887 5.576
0.887 1.590 7.722
```

Results
Total moment ... 0.0 μB/f.u.
Raw formation energy ... -0.728 eV per atom

---

(8)
A relaxed structure of Mo2PdPbBr. Source: the Alexandria database, functional GGA-PBE.

The structure in POSCAR format:
```
Mo2PdPbBr
1.0
-5.188 0.375 -0.377
0.097 -3.192 -4.504
-0.524 -4.239 2.993
Pb Mo Br Pd
1 2 1 1
Cartesian
0.000 0.000 0.000
-0.262 -2.119 1.496
-2.594 0.187 -0.189
0.048 -1.596 -2.252
-2.807 -3.528 -0.944
```

Results
Total moment ... 0.6 μB/f.u.
Raw formation energy ... 2.451 eV per atom

---

Question: Which formula does entry 6 have?
Answer: CsFeSbI2

---

Repeat the first record exactly.
A relaxed structure of MgZnMo. Source: the Alexandria database, functional GGA-PBE.

The structure in POSCAR format:
```
MgZnMo
1.0
2.847 -0.191 -0.151
1.233 2.545 -0.395
-0.229 -0.769 13.981
Mo Zn Mg
2 2 2
Cartesian
1.824 0.038 3.925
0.906 1.153 1.767
1.654 1.964 5.912
2.078 1.000 13.366
2.098 0.580 8.402
0.409 -0.168 11.273
```

Results
Total moment ... 0.0 μB/f.u.
ΔE to the lowest computed polymorph ... 0 meV/atom
Formation energy from the elements ... 0.103 eV per atom

---

Question: Which formula does entry 6 have?
Answer: CsFeSbI2

---

Question: What is the total moment in the fourth record?
Answer: 0.0 μB/f.u.